PBEsol NaAsSe2S, optimized geometry; magnetization = 0.0 μB/f.u.; SG = P4/mmm; density of states at the Fermi level = 1.388 states/eV per atom; energy = -12.6 eV per formula unit
1.0
4.874 0.000 0.000
0.000 4.874 0.000
0.000 0.000 5.038
Na As S Se
1 1 1 2
Direct
0.000 0.000 0.000
0.000 0.000 0.500
0.500 0.500 0.500
0.000 0.500 0.000
0.500 0.000 0.000



PBEsol Na2SbAs2, optimized geometry; magnetization = 0.0 μB/f.u.; SG = I4/mmm; density of states at the Fermi level = 0.698 states/eV per atom; energy = -17.3 eV per formula unit
1.0
-4.297 1.275 -0.211
-0.945 -2.600 3.533
3.768 5.124 1.930
Sb As Na
1 2 2
Direct
0.000 0.000 0.000
0.401 0.401 0.801
0.599 0.599 0.199
0.250 0.750 0.500
0.750 0.250 0.500



PBEsol Na2SbAs, optimized geometry; magnetization = 0.0 μB/f.u.; SG = P2_1/c; energy = -13.7 eV per formula unit
1.0
6.110 0.000 0.000
0.000 6.476 -0.002
0.000 1.039 10.633
Na Sb As
8 4 4
Direct
0.602 0.093 0.664
0.102 0.407 0.836
0.398 0.907 0.336
0.898 0.593 0.164
0.330 0.822 0.967
0.830 0.678 0.533
0.670 0.178 0.033
0.170 0.322 0.467
0.095 0.981 0.707
0.595 0.519 0.793
0.905 0.019 0.293
0.405 0.481 0.207
0.834 0.808 0.890
0.334 0.692 0.610
0.166 0.192 0.110
0.666 0.308 0.390



PBEsol NaSb3As, optimized geometry; magnetization = 0.0 μB/f.u.; SG = Pm-3m; density of states at the Fermi level = 0.961 states/eV per atom; energy = -18.2 eV per formula unit
1.0
5.417 0.000 0.000
0.000 5.417 0.000
0.000 0.000 5.417
Sb As Na
3 1 1
Direct
0.000 0.500 0.000
0.000 0.000 0.500
0.500 0.000 0.000
0.000 0.000 0.000
0.500 0.500 0.500



PBEsol Na2AsSe, optimized geometry; magnetization = 0.0 μB/f.u.; SG = I-42d; density of states at the Fermi level = 0.817 states/eV per atom; energy = -12.9 eV per formula unit
1.0
-4.077 -3.154 1.927
-0.382 -5.811 -2.462
1.407 -3.535 5.050
Na As Se
4 2 2
Direct
0.112 0.013 0.513
0.638 0.987 0.487
0.375 0.513 0.987
0.875 0.487 0.013
0.250 0.500 0.500
0.500 0.000 0.000
0.750 0.500 0.500
0.000 0.000 0.000



PBEsol NaAsSe2, optimized geometry; magnetization = 0.0 μB/f.u.; SG = Pbca; energy = -16.2 eV per formula unit
1.0
-2.798 1.338 -4.844
-8.305 -7.912 2.613
-12.419 16.952 11.854
Na As Se
16 16 32
Direct
0.287 0.878 0.250
0.756 0.624 0.499
0.244 0.876 0.999
0.744 0.124 0.501
0.744 0.624 0.999
0.244 0.376 0.501
0.756 0.124 0.001
0.256 0.876 0.499
0.287 0.378 0.250
0.787 0.622 0.250
0.213 0.878 0.750
0.713 0.122 0.750
0.713 0.622 0.750
0.213 0.378 0.750
0.787 0.122 0.250
0.256 0.376 0.001
0.715 0.353 0.389
0.285 0.147 0.889
0.785 0.853 0.611
0.785 0.353 0.889
0.285 0.647 0.611
0.715 0.853 0.111
0.215 0.147 0.389
0.238 0.646 0.860
0.738 0.354 0.640
0.262 0.146 0.140
0.762 0.854 0.360
0.762 0.354 0.140
0.262 0.646 0.360
0.738 0.854 0.860
0.215 0.647 0.111
0.238 0.146 0.640
0.783 0.147 0.374
0.744 0.874 0.015
0.256 0.626 0.515
0.756 0.374 0.985
0.756 0.874 0.515
0.256 0.126 0.985
0.744 0.374 0.485
0.244 0.626 0.015
0.287 0.128 0.237
0.787 0.872 0.263
0.213 0.628 0.763
0.713 0.372 0.737
0.713 0.872 0.763
0.213 0.128 0.737
0.787 0.372 0.237
0.287 0.628 0.263
0.283 0.853 0.126
0.217 0.353 0.874
0.717 0.647 0.626
0.717 0.147 0.874
0.217 0.853 0.626
0.783 0.647 0.126
0.283 0.353 0.374
0.331 0.852 0.376
0.831 0.148 0.124
0.169 0.352 0.624
0.669 0.648 0.876
0.669 0.148 0.624
0.169 0.852 0.876
0.831 0.648 0.376
0.331 0.352 0.124
0.244 0.126 0.485



PBEsol NaAsSe2, optimized geometry; magnetization = 0.0 μB/f.u.; SG = Pc; energy = -16.3 eV per formula unit
1.0
-3.286 4.053 2.724
-7.695 -8.184 2.897
5.836 -2.021 10.047
Na As Se
8 8 16
Direct
0.987 0.239 0.245
0.013 0.239 0.745
0.502 0.480 0.742
0.498 0.480 0.242
0.479 0.980 0.763
0.521 0.980 0.263
0.529 0.738 0.499
0.471 0.738 0.999
0.542 0.241 0.966
0.458 0.241 0.466
0.921 0.000 0.994
0.079 0.000 0.494
0.933 0.743 0.773
0.067 0.743 0.273
0.979 0.499 0.956
0.021 0.499 0.456
0.996 0.498 0.256
0.004 0.498 0.756
0.578 0.463 0.993
0.422 0.463 0.493
0.514 0.229 0.767
0.486 0.229 0.267
0.979 0.965 0.793
0.021 0.965 0.293
0.972 0.715 0.981
0.028 0.715 0.481
0.535 0.731 0.749
0.465 0.731 0.249
0.958 0.217 0.995
0.042 0.217 0.495
0.479 0.996 0.513
0.521 0.996 0.013



PBEsol NaTaAs2Se, optimized geometry; magnetization = 0.0 μB/f.u.; SG = P4/mmm; density of states at the Fermi level = 0.523 states/eV per atom; energy = -28.8 eV per formula unit
1.0
-2.342 3.981 1.867
-4.028 -1.093 -2.721
-1.786 -2.822 3.777
Na As Se Ta
1 2 1 1
Direct
0.500 0.500 0.500
0.000 0.500 0.000
0.500 0.000 0.000
0.000 0.000 0.500
0.000 0.000 0.000